Density functional theory data (PBE) for a relaxed structure of NaAc3Si4.

The magnetic moment is 0.0 μB/f.u. As for the symmetry: No. 65. The total energy is -4.83 eV per atom.

a = 4.536 Å, b = 4.706 Å, c = 11.429 Å
α = 114.33°, β = 101.44°, γ = 90.00°
Sites, in units of the cell vectors:
Na  0.500  0.000  0.000
Ac  0.000  0.500  0.000
Ac  0.163  0.326  0.326
Ac  0.837  0.674  0.674
Si  0.392  0.283  0.783
Si  0.608  0.717  0.217
Si  0.724  0.948  0.448
Si  0.276  0.052  0.552